An optimized crystal structure of CaMo2Ir. Source: Alexandria, functional PBE.

Properties
Formation energy from the elements (eV/atom): 0.5293
E above lowest polymorph (eV per atom): 0.2849
Total magnetic moment (Bohr magnetons per cell): 0.00
Uncorrected energy (eV/atom): -7.60

Cell: 2.784 4.634 5.420 Å, 90.00 90.00 90.00°
Space group Pmmm (No. 47)
Unique sites:
Ca: 0.000 0.000 0.000
Mo: 0.500 0.500 0.267
Ir: 0.000 0.000 0.500